This record from Alexandria via LeMat-Bulk describes K2CuGeI6 after structural relaxation. The functional is GGA-PBE.

Values from the calculation:
Formation energy without anion corrections in eV/atom: -0.676
Spin magnetization in μB per formula unit: 0.000
DFT total energy in eV per atom: -2.6971

a = 8.2612 Å, b = 8.2667 Å, c = 8.8770 Å
α = 62.21°, β = 62.54°, γ = 58.47°
Atoms (fractional coordinates):
K  0.5444  0.5374  0.3876
K  0.0367  0.0474  0.8746
Cu  0.2468  0.2427  0.2542
I  0.6707  0.0755  0.7368
I  0.5210  0.6717  0.7348
I  0.9965  0.5943  0.2474
I  0.1593  0.9971  0.2492
I  0.5838  0.1663  0.2568
Ge  0.8154  0.8179  0.5467
I  0.0870  0.5112  0.7271

***

This record from Alexandria via LeMat-Bulk describes La6CuGe2I3 after structural relaxation. The functional is GGA-PBE.

Values from the calculation:
Formation energy without anion corrections in eV/atom: -0.898
Spin magnetization in μB per formula unit: 0.289
DFT total energy in eV per atom: -4.8600

a = 7.7187 Å, b = 7.7187 Å, c = 8.0491 Å
α = 99.29°, β = 99.29°, γ = 119.96°
Atoms (fractional coordinates):
I  0.5000  0.5000  0.5000
La  0.2640  0.2640  0.7883
La  0.7360  0.7360  0.2117
Ge  0.6659  0.3341  0.0000
La  0.0688  0.4010  0.2077
La  0.5990  0.9312  0.7923
Cu  0.0000  0.0000  0.0000
I  0.1708  0.8292  0.5000
La  0.4010  0.0688  0.2077
Ge  0.3341  0.6659  0.0000
La  0.9312  0.5990  0.7923
I  0.8292  0.1708  0.5000